1.
A plane-wave DFT calculation with PBE-GGA was carried out for an optimized crystal structure of CaReSe2.

Structure (CIF):
```
data_CaReSe2
_cell_length_a 4.793
_cell_length_b 3.587
_cell_length_c 5.186
_cell_angle_alpha 69.92
_cell_angle_beta 90.00
_cell_angle_gamma 90.00
_space_group_name_H-M_alt 'P 1'
_space_group_IT_number 1
loop_
_space_group_symop_operation_xyz
'x,y,z'
loop_
_atom_site_label
_atom_site_fract_x
_atom_site_fract_y
_atom_site_fract_z
_atom_site_occupancy
Re1 0.500 0.890 0.843 1
Ca1 0.000 0.582 0.459 1
Se1 0.000 0.865 0.898 1
Se2 0.500 0.162 0.300 1
```

Values from the calculation:
Density: 7.6 Mg/m³
Relative energy among the computed polymorphs: 211 meV per atom
E_tot: -5.650 eV/atom
E_form (uncorrected): -294.9 meV/atom
Magnetic moment: 0.00 μB per cell

---

2.
A plane-wave DFT calculation with PBE-GGA was carried out for an optimized crystal structure of Ca3ReSe.

Structure (CIF):
```
data_Ca3ReSe
_cell_length_a 5.442
_cell_length_b 5.442
_cell_length_c 5.442
_cell_angle_alpha 90.00
_cell_angle_beta 90.00
_cell_angle_gamma 90.00
_space_group_name_H-M_alt 'P 1'
_space_group_IT_number 1
loop_
_space_group_symop_operation_xyz
'x,y,z'
loop_
_atom_site_label
_atom_site_fract_x
_atom_site_fract_y
_atom_site_fract_z
_atom_site_occupancy
Re1 0.500 0.500 0.500 1
Ca1 0.000 0.500 0.000 1
Ca2 0.000 0.000 0.500 1
Ca3 0.500 0.000 0.000 1
Se1 0.000 0.000 0.000 1
```

Values from the calculation:
Density: 4.0 Mg/m³
Relative energy among the computed polymorphs: 11 meV per atom
E_tot: -4.037 eV/atom
E_form (uncorrected): 350.8 meV/atom
Magnetic moment: 2.97 μB per cell

---

3.
A plane-wave DFT calculation with PBE-GGA was carried out for an optimized crystal structure of CaReSe2.

Structure (CIF):
```
data_CaReSe2
_cell_length_a 3.358
_cell_length_b 3.358
_cell_length_c 6.942
_cell_angle_alpha 90.00
_cell_angle_beta 90.00
_cell_angle_gamma 101.13
_space_group_name_H-M_alt 'P 1'
_space_group_IT_number 1
loop_
_space_group_symop_operation_xyz
'x,y,z'
loop_
_atom_site_label
_atom_site_fract_x
_atom_site_fract_y
_atom_site_fract_z
_atom_site_occupancy
Re1 0.500 0.500 0.750 1
Ca1 0.500 0.500 0.250 1
Se1 0.000 0.000 0.969 1
Se2 0.000 0.000 0.531 1
```

Values from the calculation:
Density: 8.3 Mg/m³
Relative energy among the computed polymorphs: 403 meV per atom
E_tot: -5.458 eV/atom
E_form (uncorrected): -103.1 meV/atom
Magnetic moment: 0.00 μB per cell

---

4.
A plane-wave DFT calculation with PBE-GGA was carried out for an optimized crystal structure of CaReSe2.

Structure (CIF):
```
data_CaReSe2
_cell_length_a 4.706
_cell_length_b 4.706
_cell_length_c 4.706
_cell_angle_alpha 60.00
_cell_angle_beta 60.00
_cell_angle_gamma 60.00
_space_group_name_H-M_alt 'P 1'
_space_group_IT_number 1
loop_
_space_group_symop_operation_xyz
'x,y,z'
loop_
_atom_site_label
_atom_site_fract_x
_atom_site_fract_y
_atom_site_fract_z
_atom_site_occupancy
Re1 0.500 0.500 0.500 1
Ca1 0.000 0.000 0.000 1
Se1 0.250 0.250 0.250 1
Se2 0.750 0.750 0.750 1
```

Values from the calculation:
Density: 8.7 Mg/m³
Relative energy among the computed polymorphs: 322 meV per atom
E_tot: -5.539 eV/atom
E_form (uncorrected): -184.0 meV/atom
Magnetic moment: 0.66 μB per cell

---

5.
A plane-wave DFT calculation with PBE-GGA was carried out for an optimized crystal structure of SrCaReSe2.

Structure (CIF):
```
data_SrCaReSe2
_cell_length_a 5.001
_cell_length_b 5.717
_cell_length_c 5.001
_cell_angle_alpha 90.00
_cell_angle_beta 90.00
_cell_angle_gamma 90.00
_space_group_name_H-M_alt 'P 1'
_space_group_IT_number 1
loop_
_space_group_symop_operation_xyz
'x,y,z'
loop_
_atom_site_label
_atom_site_fract_x
_atom_site_fract_y
_atom_site_fract_z
_atom_site_occupancy
Re1 0.000 0.000 0.000 1
Ca1 0.500 0.500 0.500 1
Se1 0.000 0.000 0.500 1
Se2 0.500 0.000 0.000 1
Sr1 0.000 0.500 0.000 1
```

Values from the calculation:
Density: 5.5 Mg/m³
E_tot: -4.449 eV/atom
E_form (uncorrected): 170.9 meV/atom
Magnetic moment: 0.00 μB per cell

---

6.
A plane-wave DFT calculation with PBE-GGA was carried out for an optimized crystal structure of Ca2ReWSe.

Structure (CIF):
```
data_Ca2ReWSe
_cell_length_a 5.253
_cell_length_b 4.690
_cell_length_c 5.253
_cell_angle_alpha 90.00
_cell_angle_beta 90.00
_cell_angle_gamma 90.00
_space_group_name_H-M_alt 'P 1'
_space_group_IT_number 1
loop_
_space_group_symop_operation_xyz
'x,y,z'
loop_
_atom_site_label
_atom_site_fract_x
_atom_site_fract_y
_atom_site_fract_z
_atom_site_occupancy
Re1 0.500 0.500 0.500 1
Ca1 0.000 0.000 0.500 1
Ca2 0.500 0.000 0.000 1
Se1 0.000 0.000 0.000 1
W1 0.000 0.500 0.000 1
```

Values from the calculation:
Density: 6.8 Mg/m³
E_tot: -5.458 eV/atom
E_form (uncorrected): 1120.3 meV/atom
Magnetic moment: 1.92 μB per cell

---

7.
A plane-wave DFT calculation with PBE-GGA was carried out for an optimized crystal structure of CaRe2Si2.

Structure (CIF):
```
data_CaRe2Si2
_cell_length_a 7.481
_cell_length_b 7.481
_cell_length_c 2.824
_cell_angle_alpha 90.00
_cell_angle_beta 90.00
_cell_angle_gamma 90.00
_space_group_name_H-M_alt 'P 1'
_space_group_IT_number 1
loop_
_space_group_symop_operation_xyz
'x,y,z'
loop_
_atom_site_label
_atom_site_fract_x
_atom_site_fract_y
_atom_site_fract_z
_atom_site_occupancy
Re1 0.144 0.644 0.500 1
Re2 0.644 0.856 0.500 1
Re3 0.856 0.356 0.500 1
Re4 0.356 0.144 0.500 1
Ca1 0.000 0.000 0.000 1
Ca2 0.500 0.500 0.000 1
Si1 0.356 0.856 0.000 1
Si2 0.856 0.644 0.000 1
Si3 0.644 0.144 0.000 1
Si4 0.144 0.356 0.000 1
```

Values from the calculation:
Density: 9.8 Mg/m³
E_tot: -7.646 eV/atom
E_form (uncorrected): -96.8 meV/atom
Magnetic moment: 0.00 μB per cell

---

8.
A plane-wave DFT calculation with PBE-GGA was carried out for an optimized crystal structure of CaReSi.

Structure (CIF):
```
data_CaReSi
_cell_length_a 5.770
_cell_length_b 5.770
_cell_length_c 3.305
_cell_angle_alpha 73.36
_cell_angle_beta 73.36
_cell_angle_gamma 33.28
_space_group_name_H-M_alt 'P 1'
_space_group_IT_number 1
loop_
_space_group_symop_operation_xyz
'x,y,z'
loop_
_atom_site_label
_atom_site_fract_x
_atom_site_fract_y
_atom_site_fract_z
_atom_site_occupancy
Ca1 0.999 0.999 0.001 1
Re1 0.288 0.288 0.712 1
Si1 0.713 0.713 0.287 1
```

Values from the calculation:
Density: 7.3 Mg/m³
E_tot: -6.633 eV/atom
E_form (uncorrected): -8.3 meV/atom
Magnetic moment: 0.13 μB per cell

---

9.
A plane-wave DFT calculation with PBE-GGA was carried out for an optimized crystal structure of CaReSi3.

Structure (CIF):
```
data_CaReSi3
_cell_length_a 4.736
_cell_length_b 4.736
_cell_length_c 4.736
_cell_angle_alpha 90.00
_cell_angle_beta 90.00
_cell_angle_gamma 90.00
_space_group_name_H-M_alt 'P 1'
_space_group_IT_number 1
loop_
_space_group_symop_operation_xyz
'x,y,z'
loop_
_atom_site_label
_atom_site_fract_x
_atom_site_fract_y
_atom_site_fract_z
_atom_site_occupancy
Re1 0.000 0.000 0.000 1
Ca1 0.500 0.500 0.500 1
Si1 0.000 0.500 0.000 1
Si2 0.000 0.000 0.500 1
Si3 0.500 0.000 0.000 1
```

Values from the calculation:
Density: 4.9 Mg/m³
Relative energy among the computed polymorphs: 0 meV per atom
E_tot: -5.975 eV/atom
E_form (uncorrected): 169.0 meV/atom
Magnetic moment: 0.00 μB per cell

---

10.
A plane-wave DFT calculation with PBE-GGA was carried out for an optimized crystal structure of CaReSi.

Structure (CIF):
```
data_CaReSi
_cell_length_a 4.632
_cell_length_b 4.632
_cell_length_c 4.632
_cell_angle_alpha 60.00
_cell_angle_beta 60.00
_cell_angle_gamma 60.00
_space_group_name_H-M_alt 'P 1'
_space_group_IT_number 1
loop_
_space_group_symop_operation_xyz
'x,y,z'
loop_
_atom_site_label
_atom_site_fract_x
_atom_site_fract_y
_atom_site_fract_z
_atom_site_occupancy
Ca1 0.750 0.750 0.750 1
Re1 0.000 0.000 0.000 1
Si1 0.500 0.500 0.500 1
```

Values from the calculation:
Density: 6.0 Mg/m³
E_tot: -4.884 eV/atom
E_form (uncorrected): 1739.9 meV/atom
Magnetic moment: 2.55 μB per cell

---

no.,N(E_F) (states/eV/f.u.)
1,2.9
2,9.5
3,3.1
4,2.8
5,5.9
6,5.0
7,2.2
8,3.8
9,4.2
10,4.6